Entry 1:
The following is a DFT calculation (PBE-GGA) of a geometry-optimized MgBeTe structure.

Properties
* ΔE_f (raw): 0.9 eV per formula unit
* energy above the most stable polymorph in this dataset: 0.3210 eV per atom
* DOS(E_F): 4.678 states/eV/cell
* total magnetization: 0.0000 μB/atom
* total DFT energy (no corrections): -30.22 eV/cell

a b c (Å): 6.431 6.431 6.431
angles (deg): 90.00 90.00 90.00
Space group F-43m (No. 216)
Unique sites:
Mg (0.000, 0.000, 0.000) (multiplicity 4)
Be (0.250, 0.250, 0.750) (multiplicity 4)
Te (0.000, 0.000, 0.500) (multiplicity 4)

Entry 2:
The following is a DFT calculation (PBE-GGA) of a geometry-optimized TbMgNi2H6 structure.

Properties
* DOS(E_F): 7.608 states/eV/cell
* total magnetization: 0.0000 μB/atom
* total DFT energy (no corrections): -122.43 eV/cell

a b c (Å): 4.3807 4.3807 15.4452
angles (deg): 90.00 90.00 120.00
Space group R-3m (No. 166, hexagonal axes)
Unique sites:
Tb (0.0000, 0.0000, 0.0000) (multiplicity 3)
Mg (0.0000, 0.0000, 0.5000) (multiplicity 3)
Ni (0.0000, 0.0000, 0.2108) (multiplicity 6)
H (0.0039, 0.5020, 0.9361) (multiplicity 18)